VASP calculation (PBE-GGA) on a relaxed CaAl2Ni crystal.

POSCAR file:
```
CaAl2Ni
1.0
-0.710 -2.742 -1.186
2.919 -1.214 1.058
-3.026 -1.890 6.180
Ni Ca Al
1 1 2
direct
0.500 0.500 0.826
0.000 0.000 0.522
0.000 0.000 0.957
0.500 0.500 0.195
```

DOS at the Fermi energy	1.603	states/eV per cell
magnetic moment	0.000	μB per formula unit
space-group type	Pmm2
DFT total energy	-4.05	eV/atom

---

VASP calculation (PBE-GGA) on a relaxed LiPm2Te4 crystal.

POSCAR file:
```
LiPm2Te4
1.0
-4.833 -2.444 5.514
1.159 -5.933 -1.614
8.098 0.567 3.730
Li Pm Te
2 4 8
direct
0.222 0.750 0.180
0.778 0.250 0.820
0.764 0.750 0.068
0.236 0.250 0.932
0.242 0.250 0.437
0.758 0.750 0.563
0.515 0.494 0.252
0.065 0.750 0.882
0.935 0.250 0.118
0.515 0.006 0.252
0.930 0.250 0.597
0.485 0.994 0.748
0.485 0.506 0.748
0.070 0.750 0.403
```

DOS at the Fermi energy	1.161	states/eV per cell
magnetic moment	0.000	μB per formula unit
space-group type	P2_1/m
DFT total energy	-4.64	eV/atom
E_form (uncorrected)	-1212	meV/atom

---

VASP calculation (PBE-GGA) on a relaxed Nd5Pb4N crystal.

POSCAR file:
```
Nd5Pb4N
1.0
-4.153 4.303 2.032
-7.157 -2.429 0.334
-1.067 0.069 7.489
Nd Pb N
5 4 1
direct
0.886 0.342 0.881
0.228 0.881 0.658
0.767 0.119 0.342
0.109 0.658 0.119
0.445 0.000 0.000
0.442 0.396 0.726
0.838 0.726 0.604
0.168 0.274 0.396
0.564 0.604 0.274
0.062 0.000 0.000
```

DOS at the Fermi energy	5.676	states/eV per cell
magnetic moment	0.000	μB per formula unit
space-group type	I4
DFT total energy	-5.25	eV/atom
E_form (uncorrected)	-555	meV/atom

---

VASP calculation (PBE-GGA) on a relaxed K2SrPdF8 crystal.

POSCAR file:
```
K2SrPdF8
1.0
5.545 0.000 0.000
-2.772 4.802 0.000
0.000 0.000 7.147
K Sr Pd F
2 1 1 8
direct
0.667 0.333 0.166
0.333 0.667 0.834
0.000 0.000 0.500
0.000 0.000 0.000
0.842 0.685 0.824
0.315 0.158 0.824
0.842 0.158 0.824
0.158 0.315 0.176
0.685 0.842 0.176
0.158 0.842 0.176
0.667 0.333 0.506
0.333 0.667 0.494
```

magnetic moment	0.112	μB per formula unit
space-group type	P-3m1
DFT total energy	-4.32	eV/atom
E_form (uncorrected)	-2314	meV/atom

---

VASP calculation (PBE-GGA) on a relaxed Y2CrPt crystal.

POSCAR file:
```
Y2CrPt
1.0
-3.595 2.306 -2.439
-0.839 -1.064 -4.729
-4.066 -2.452 -1.285
Cr Pt Y
1 1 2
direct
0.500 0.500 0.500
0.750 0.750 0.750
0.000 0.000 0.000
0.250 0.250 0.250
```

DOS at the Fermi energy	3.554	states/eV per cell
magnetic moment	4.820	μB per formula unit
space-group type	F-43m
DFT total energy	-7.30	eV/atom
distance to the lowest polymorph of the same formula	0.260	eV/atom

---

VASP calculation (PBE-GGA) on a relaxed Ta3Ni5 crystal.

POSCAR file:
```
Ta3Ni5
1.0
7.477 0.000 0.000
-3.739 6.475 0.000
0.000 0.000 4.680
Ni Ta
10 6
direct
0.333 0.667 0.000
0.667 0.333 0.500
0.667 0.333 0.000
0.333 0.667 0.500
0.204 0.000 0.250
0.796 0.000 0.750
0.000 0.204 0.250
0.796 0.796 0.250
0.204 0.204 0.750
0.000 0.796 0.750
0.612 0.000 0.250
0.388 0.000 0.750
0.000 0.612 0.250
0.388 0.388 0.250
0.612 0.612 0.750
0.000 0.388 0.750
```

DOS at the Fermi energy	23.421	states/eV per cell
magnetic moment	0.000	μB per formula unit
space-group type	P6_3/mcm
DFT total energy	-7.94	eV/atom
distance to the lowest polymorph of the same formula	0.307	eV/atom

---

VASP calculation (PBE-GGA) on a relaxed TlVSbTe2 crystal.

POSCAR file:
```
TlVSbTe2
1.0
-1.423 -3.005 -4.148
5.008 -1.724 -0.469
-1.064 -3.974 3.244
Sb Tl Te V
1 1 2 1
direct
0.000 0.000 0.500
0.500 0.500 0.500
0.000 0.500 0.000
0.500 0.000 0.000
0.000 0.000 0.000
```

DOS at the Fermi energy	4.884	states/eV per cell
magnetic moment	0.000	μB per formula unit
space-group type	P4/mmm
DFT total energy	-4.28	eV/atom
distance to the lowest polymorph of the same formula	0.000	eV/atom
E_form (uncorrected)	101	meV/atom

---

VASP calculation (PBE-GGA) on a relaxed PtSNF2 crystal.

POSCAR file:
```
PtSNF2
1.0
-2.389 -3.926 0.387
-0.220 -0.319 -4.596
2.775 -1.690 -0.016
S N Pt F
1 1 1 2
direct
0.000 0.000 0.000
0.000 0.000 0.500
0.500 0.500 0.500
0.000 0.500 0.000
0.500 0.000 0.000
```

DOS at the Fermi energy	5.315	states/eV per cell
magnetic moment	1.040	μB per formula unit
space-group type	P4/mmm
DFT total energy	-3.75	eV/atom
distance to the lowest polymorph of the same formula	0.276	eV/atom
E_form (uncorrected)	694	meV/atom